{
  "formula": "Na2ZnIr",
  "functional": "PBE-GGA",
  "state": "optimized geometry",
  "lattice_angstrom": [[-1.868, 1.868, 10.405], [1.868, -1.868, 10.405], [1.868, 1.868, -10.405]],
  "species": ["Na", "Na", "Na", "Na", "Zn", "Zn", "Ir", "Ir"],
  "frac_coords": [[0.124, 0.625, 0.999], [0.375, 0.374, 0.499], [0.626, 0.125, 0.001], [0.875, 0.876, 0.501], [0.250, 0.750, 0.500], [0.500, 0.500, 0.000], [0.000, 0.000, 0.000], [0.750, 0.250, 0.500]],
  "n_ef_per_ev_atom": 0.430,
  "dft_energy_ev_per_cell": -22.58,
  "magmom_total_mub_per_fu": 0.00
}